[1]
The following is a DFT calculation (GGA-PBE) of a relaxed Pm3TlH2 crystal.

a b c (Å): 5.3400 7.2908 7.2908
angles (deg): 106.29 90.00 90.00
With the nearest neighbours (Å) after each atom.
Element x y z (fractional)
Tl1 0.2500 0.3154 0.6846  8 Pm 3.32-3.57
Tl2 0.7500 0.6846 0.3154  8 Pm 3.32-3.57
H1 0.0000 0.1480 0.1480  4 Pm 2.27
H2 0.0000 0.8520 0.8520  4 Pm 2.27
H3 0.5000 0.8520 0.8520  4 Pm 2.27
H4 0.5000 0.1480 0.1480  4 Pm 2.27
Pm1 0.2500 0.4084 0.1858  2 H 2.27
Pm2 0.2500 0.8883 0.1117  4 H 2.27
Pm3 0.7500 0.1117 0.8883  4 H 2.27
Pm4 0.2500 0.8142 0.5916  2 H 2.27
Pm5 0.7500 0.1858 0.4084  2 H 2.27
Pm6 0.7500 0.5916 0.8142  2 H 2.27

Calculated values
* electronic total energy: -51.71 eV for the cell shown


[2]
The following is a DFT calculation (GGA-PBE) of a relaxed La2CBr crystal.

a b c (Å): 3.8620 3.8620 8.0679
angles (deg): 76.15 76.15 60.00
With the nearest neighbours (Å) after each atom.
Element x y z (fractional)
La1 0.0618 0.0618 0.8146  3 C 2.65
La2 0.2725 0.2725 0.1825  3 C 2.64
C1 0.6666 0.6666 0.0002  6 La 2.64-2.65
Br1 0.4991 0.4991 0.5027  6 La 3.29-3.34

Calculated values
* raw formation energy: -0.894 eV/atom


[3]
The following is a DFT calculation (GGA-PBE) of a relaxed LaPm12Ni6 crystal.

a b c (Å): 8.7612 8.7612 8.7612
angles (deg): 109.47 109.47 109.47
With the nearest neighbours (Å) after each atom.
Element x y z (fractional)
Pm1 0.8724 0.1852 0.6872  3 Ni 2.72-2.94
Pm2 0.1852 0.6872 0.8724  3 Ni 2.72-2.94
Pm3 0.6872 0.5020 0.8148  3 Ni 2.72-2.94
Pm4 0.6872 0.8724 0.1852  3 Ni 2.72-2.94
Pm5 0.1852 0.3128 0.4980  3 Ni 2.72-2.94
Pm6 0.3128 0.1276 0.8148  3 Ni 2.72-2.94
Pm7 0.3128 0.4980 0.1852  3 Ni 2.72-2.94
Pm8 0.4980 0.1852 0.3128  3 Ni 2.72-2.94
Pm9 0.1276 0.8148 0.3128  3 Ni 2.72-2.94
Pm10 0.8148 0.6872 0.5020  3 Ni 2.72-2.94
Pm11 0.5020 0.8148 0.6872  3 Ni 2.72-2.94
Pm12 0.8148 0.3128 0.1276  3 Ni 2.72-2.94
Ni1 0.6217 0.5000 0.1217  1 Ni 2.46, 2 Pm 2.72
Ni2 0.8783 0.3783 0.5000  1 Ni 2.46, 2 Pm 2.72
Ni3 0.5000 0.8783 0.3783  1 Ni 2.46, 2 Pm 2.72
Ni4 0.3783 0.5000 0.8783  1 Ni 2.46, 2 Pm 2.72
Ni5 0.1217 0.6217 0.5000  1 Ni 2.46, 2 Pm 2.72
Ni6 0.5000 0.1217 0.6217  1 Ni 2.46, 2 Pm 2.72
La1 0.0000 0.0000 0.0000  12 Pm 3.68

Calculated values
* electronic total energy: -100.14 eV for the cell shown


[4]
The following is a DFT calculation (GGA-PBE) of a relaxed Ac6TmSe8 crystal.

a b c (Å): 8.8586 8.8586 8.8586
angles (deg): 60.00 60.00 60.00
With the nearest neighbours (Å) after each atom.
Element x y z (fractional)
Ac1 0.5000 0.5000 0.0000  6 Se 3.13-3.14
Ac2 0.0000 0.5000 0.0000  6 Se 3.13-3.14
Ac3 0.5000 0.0000 0.0000  6 Se 3.13-3.14
Ac4 0.0000 0.0000 0.5000  6 Se 3.13-3.14
Ac5 0.5000 0.0000 0.5000  6 Se 3.13-3.14
Ac6 0.0000 0.5000 0.5000  6 Se 3.13-3.14
Se1 0.7676 0.2324 0.2324  1 Tm 2.91, 4 Ac 3.14
Se2 0.7500 0.7500 0.7500  6 Ac 3.13
Se3 0.2500 0.2500 0.2500  6 Ac 3.13
Se4 0.7676 0.2324 0.7676  1 Tm 2.91, 4 Ac 3.14
Se5 0.7676 0.7676 0.2324  1 Tm 2.91, 4 Ac 3.14
Se6 0.2324 0.7676 0.7676  1 Tm 2.91, 4 Ac 3.14
Se7 0.2324 0.7676 0.2324  1 Tm 2.91, 4 Ac 3.14
Se8 0.2324 0.2324 0.7676  1 Tm 2.91, 4 Ac 3.14
Tm1 0.0000 0.0000 0.0000  6 Se 2.91

Calculated values
* raw formation energy: -1.888 eV/atom


[5]
The following is a DFT calculation (GGA-PBE) of a relaxed CdTc2W crystal.

a b c (Å): 2.8095 2.8095 8.2708
angles (deg): 90.00 90.00 90.00
With the nearest neighbours (Å) after each atom.
Element x y z (fractional)
W1 0.0000 0.0000 0.4771  4 Tc 2.80, 4 W 2.81, 4 Cd 3.05
Tc1 0.5000 0.5000 0.2387  8 Tc 2.65-2.81, 4 W 2.80
Tc2 0.0000 0.0000 0.0274  8 Tc 2.65-2.81
Cd1 0.5000 0.5000 0.7568  4 Cd 2.81, 4 Tc 2.99, 4 W 3.05

Calculated values
* electronic total energy: -33.36 eV for the cell shown


[6]
The following is a DFT calculation (GGA-PBE) of a relaxed LiCaSbIr crystal.

a b c (Å): 4.7339 4.7339 4.7339
angles (deg): 60.00 60.00 60.00
With the nearest neighbours (Å) after each atom.
Element x y z (fractional)
Ca1 0.2500 0.2500 0.2500  4 Li 2.90, 4 Ir 2.90
Li1 0.0000 0.0000 0.0000  4 Sb 2.90, 4 Ca 2.90
Ir1 0.5000 0.5000 0.5000  4 Sb 2.90, 4 Ca 2.90
Sb1 0.7500 0.7500 0.7500  4 Li 2.90, 4 Ir 2.90

Calculated values
* raw formation energy: -0.466 eV/atom


[7]
The following is a DFT calculation (GGA-PBE) of a relaxed Sm3DySc7 crystal.

a b c (Å): 5.4885 8.0059 8.0059
angles (deg): 81.93 110.03 110.03
With the nearest neighbours (Å) after each atom.
Element x y z (fractional)
Dy1 0.5000 0.5000 0.5000  2 Sc 2.74
Sc1 0.2816 0.5914 0.9720  2 Sm 3.09-3.19, 5 Sc 3.09-3.40
Sc2 0.2074 0.2075 0.2075  1 Dy 3.15, 2 Sm 3.17, 6 Sc 3.35-3.40
Sc3 0.7926 0.7925 0.7925  1 Dy 3.15, 2 Sm 3.17, 6 Sc 3.35-3.40
Sc4 0.7184 0.0280 0.4086  2 Sm 3.09-3.19, 5 Sc 3.09-3.40
Sc5 0.0000 0.5000 0.5000  2 Dy 2.74, 2 Sm 2.99
Sc6 0.2816 0.9720 0.5914  2 Sm 3.09-3.19, 5 Sc 3.09-3.40
Sc7 0.7184 0.4086 0.0280  2 Sm 3.09-3.19, 5 Sc 3.09-3.40
Sm1 0.5000 0.0000 0.0000  4 Sc 3.09
Sm2 0.0000 0.7852 0.2148  5 Sc 2.99-3.19
Sm3 0.0000 0.2148 0.7852  5 Sc 2.99-3.19

Calculated values
* electronic total energy: -59.77 eV for the cell shown


[8]
The following is a DFT calculation (GGA-PBE) of a relaxed SbI2NO crystal.

a b c (Å): 5.9698 5.9698 3.9124
angles (deg): 90.00 90.00 90.00
With the nearest neighbours (Å) after each atom.
Element x y z (fractional)
N1 0.0000 0.0000 0.5000  2 Sb 1.96
Sb1 0.0000 0.0000 0.0000  2 N 1.96
I1 0.5000 0.0000 0.0000  2 Sb 2.98
I2 0.0000 0.5000 0.0000  2 Sb 2.98
O1 0.5000 0.5000 0.5000  8 I 3.57, 2 O 3.91

Calculated values
* raw formation energy: 1.316 eV/atom
* E above lowest polymorph: 0.553 eV per atom


[9]
The following is a DFT calculation (GGA-PBE) of a relaxed Ho2GaSi3Ni12 crystal.

a b c (Å): 6.2580 6.2580 6.2580
angles (deg): 84.20 84.20 84.20
With the nearest neighbours (Å) after each atom.
Element x y z (fractional)
Ni1 0.6146 0.6146 0.0963  2 Ni 2.37-2.59, 2 Si 2.48
Ni2 0.3854 0.9037 0.3854  2 Ni 2.37-2.59, 2 Si 2.48
Ni3 0.1863 0.1863 0.7041  1 Si 2.29, 1 Ga 2.36, 3 Ni 2.37-2.41, 1 Ho 2.51
Ni4 0.8137 0.2959 0.8137  1 Si 2.29, 1 Ga 2.36, 3 Ni 2.37-2.41, 1 Ho 2.51
Ni5 0.6146 0.0963 0.6146  2 Ni 2.37-2.59, 2 Si 2.48
Ni6 0.7041 0.1863 0.1863  1 Si 2.29, 1 Ga 2.36, 3 Ni 2.37-2.41, 1 Ho 2.51
Ni7 0.8137 0.8137 0.2959  1 Si 2.29, 1 Ga 2.36, 3 Ni 2.37-2.41, 1 Ho 2.51
Ni8 0.3854 0.3854 0.9037  2 Ni 2.37-2.59, 2 Si 2.48
Ni9 0.2959 0.8137 0.8137  1 Si 2.29, 1 Ga 2.36, 3 Ni 2.37-2.41, 1 Ho 2.51
Ni10 0.1863 0.7041 0.1863  1 Si 2.29, 1 Ga 2.36, 3 Ni 2.37-2.41, 1 Ho 2.51
Ni11 0.0963 0.6146 0.6146  2 Ni 2.37-2.59, 2 Si 2.48
Ni12 0.9037 0.3854 0.3854  2 Ni 2.37-2.59, 2 Si 2.48
Ho1 0.3467 0.3467 0.3467  9 Ni 2.51-2.75
Ho2 0.6533 0.6533 0.6533  9 Ni 2.51-2.75
Ga1 0.0000 0.0000 0.0000  6 Ni 2.36
Si1 0.5000 0.0000 0.0000  6 Ni 2.29-2.48
Si2 0.0000 0.5000 0.0000  6 Ni 2.29-2.48
Si3 0.0000 0.0000 0.5000  6 Ni 2.29-2.48

Calculated values
* raw formation energy: -0.220 eV/atom


[10]
The following is a DFT calculation (GGA-PBE) of a relaxed KAg2Os crystal.

a b c (Å): 6.3469 6.3469 6.3469
angles (deg): 155.51 130.03 56.41
With the nearest neighbours (Å) after each atom.
Element x y z (fractional)
Os1 0.2226 0.7226 0.5000  2 Os 2.69, 2 Ag 2.79
Ag1 0.0045 0.0045 0.0000  4 Ag 2.69-2.92, 2 Os 2.79, 4 K 3.00
Ag2 0.7725 0.2725 0.5000  4 Ag 2.69-2.92
K1 0.5003 0.5003 0.0000  2 K 2.69, 4 Ag 3.00

Calculated values
* E above lowest polymorph: 0.105 eV per atom


[11]
The following is a DFT calculation (GGA-PBE) of a relaxed Nd4Sm15Tm crystal.

a b c (Å): 5.1389 5.1389 25.6682
angles (deg): 90.00 90.00 90.00
With the nearest neighbours (Å) after each atom.
Element x y z (fractional)
Sm1 0.5000 0.0000 0.2989  8 Sm 3.63-3.65, 4 Nd 3.64
Sm2 0.5000 0.0000 0.9020  2 Tm 3.60, 8 Sm 3.60-3.63, 2 Nd 3.64
Sm3 0.5000 0.5000 0.8018  4 Nd 3.63, 8 Sm 3.63-3.65
Sm4 0.0000 0.5000 0.0980  2 Tm 3.60, 8 Sm 3.60-3.63, 2 Nd 3.64
Sm5 0.5000 0.0000 0.5000  8 Sm 3.63-3.64, 4 Nd 3.64
Sm6 0.0000 0.5000 0.2989  8 Sm 3.63-3.65, 4 Nd 3.64
Sm7 0.0000 0.5000 0.9020  8 Sm 3.60-3.63, 2 Tm 3.60, 2 Nd 3.64
Sm8 0.5000 0.5000 0.6005  4 Nd 3.63, 8 Sm 3.64
Sm9 0.5000 0.0000 0.0980  8 Sm 3.60-3.63, 2 Tm 3.60, 2 Nd 3.64
Sm10 0.5000 0.5000 0.1982  4 Nd 3.63, 8 Sm 3.63-3.65
Sm11 0.0000 0.5000 0.5000  8 Sm 3.63-3.64, 4 Nd 3.64
Sm12 0.5000 0.5000 0.0000  8 Sm 3.60, 4 Tm 3.63
Sm13 0.5000 0.0000 0.7011  8 Sm 3.63-3.65, 4 Nd 3.64
Sm14 0.5000 0.5000 0.3995  4 Nd 3.63, 8 Sm 3.64
Sm15 0.0000 0.5000 0.7011  8 Sm 3.63-3.65, 4 Nd 3.64
Nd1 0.0000 0.0000 0.1985  12 Sm 3.63-3.64
Nd2 0.0000 0.0000 0.3994  12 Sm 3.63-3.64
Nd3 0.0000 0.0000 0.6006  12 Sm 3.63-3.64
Nd4 0.0000 0.0000 0.8015  12 Sm 3.63-3.64
Tm1 0.0000 0.0000 0.0000  12 Sm 3.60-3.63

Calculated values
* electronic total energy: -94.00 eV for the cell shown


[12]
The following is a DFT calculation (GGA-PBE) of a relaxed Cd2CuTeO6 crystal.

a b c (Å): 5.1686 5.4086 5.8846
angles (deg): 117.36 115.86 90.00
With the nearest neighbours (Å) after each atom.
Element x y z (fractional)
O1 0.3287 0.6973 0.3947  1 Te 1.92
O2 0.8246 0.8278 0.1481  1 Cu 1.98, 1 Te 2.00
O3 0.8246 0.3202 0.1481  1 Cu 1.98, 1 Te 2.00
O4 0.1754 0.6798 0.8519  1 Cu 1.98, 1 Te 2.00
O5 0.1754 0.1722 0.8519  1 Cu 1.98, 1 Te 2.00
O6 0.6713 0.3027 0.6053  1 Te 1.92
Cd1 0.7916 0.7529 0.5058  5 O 2.17-2.39
Cd2 0.2084 0.2471 0.4942  5 O 2.17-2.39
Te1 0.0000 0.5000 0.0000  6 O 1.92-2.00
Cu1 0.5000 0.0000 0.0000  4 O 1.98

Calculated values
* raw formation energy: -0.940 eV/atom


| no. | Fermi-level density of states (states/eV/atom) |
| --- | --- |
| 1 | 0.794 |
| 2 | 0.612 |
| 3 | 1.267 |
| 4 | 0.498 |
| 5 | 0.704 |
| 6 | 0.955 |
| 7 | 1.390 |
| 8 | 2.757 |
| 9 | 0.726 |
| 10 | 0.305 |
| 11 | 1.435 |
| 12 | 0.053 |